Density functional theory data (PBE-GGA) for Na2NiRh2 after structural relaxation.

Results
**Calculated total energy**: -3.91 eV/atom
**Crystal system**: tetragonal
**DFT formation energy**: 719 meV/atom

a = 3.466 Å, b = 3.466 Å, c = 9.240 Å
α = 79.19°, β = 79.19°, γ = 90.00°
Site moments in Bohr magnetons follow the coordinates.
Element x y z (fractional)
Rh: 0.250 0.750 0.500  0.19
Ni: 0.000 0.000 0.000  0.62
Na: 0.396 0.396 0.207  0.00
Rh: 0.750 0.250 0.500  0.19
Na: 0.604 0.604 0.793  0.00

***

Density functional theory data (PBE-GGA) for Ce2Pu3ZrN6 after structural relaxation.

Results
**Calculated total energy**: -10.87 eV/atom
**Crystal system**: monoclinic

a = 6.041 Å, b = 6.041 Å, c = 5.969 Å
α = 99.67°, β = 99.67°, γ = 119.99°
Site moments in Bohr magnetons follow the coordinates.
Element x y z (fractional)
N: 0.083 0.397 0.248  -0.13
N: 0.231 0.231 0.749  -0.12
Zr: 0.000 0.000 0.000  0.08
Pu: 0.166 0.834 0.500  4.76
Ce: 0.333 0.667 0.000  0.50
N: 0.397 0.083 0.248  -0.13
Pu: 0.500 0.500 0.500  4.75
Pu: 0.834 0.166 0.500  4.76
N: 0.917 0.603 0.752  -0.13
N: 0.769 0.769 0.251  -0.12
N: 0.603 0.917 0.752  -0.13
Ce: 0.667 0.333 0.000  0.50

***

Density functional theory data (PBE-GGA) for PrPd7Pb2 after structural relaxation.

Results
**Calculated total energy**: -4.95 eV/atom
**Crystal system**: orthorhombic
**DFT formation energy**: -92 meV/atom

a = 4.504 Å, b = 7.964 Å, c = 7.964 Å
α = 124.61°, β = 90.00°, γ = 90.00°
Element x y z (fractional)
Pr: 0.000 0.000 0.000
Pd: 0.000 0.199 0.801
Pd: 0.000 0.801 0.199
Pd: 0.500 0.286 0.076
Pd: 0.500 0.714 0.924
Pb: 0.500 0.303 0.697
Pd: 0.500 0.924 0.714
Pb: 0.500 0.697 0.303
Pd: 0.500 0.076 0.286
Pd: 0.500 0.500 0.500

***

Density functional theory data (PBE-GGA) for BeNbAlW2 after structural relaxation.

Results
**Calculated total energy**: -6.79 eV/atom
**Crystal system**: tetragonal
**DFT formation energy**: 1901 meV/atom

a = 4.522 Å, b = 4.680 Å, c = 4.522 Å
α = 90.00°, β = 90.00°, γ = 90.00°
Element x y z (fractional)
Be: 0.500 0.500 0.500
Nb: 0.000 0.500 0.000
W: 0.000 0.000 0.500
W: 0.500 0.000 0.000
Al: 0.000 0.000 0.000

***

Density functional theory data (PBE-GGA) for ErSc2Pd after structural relaxation.

Results
**Calculated total energy**: -6.01 eV/atom
**Crystal system**: tetragonal
**DFT formation energy**: -402 meV/atom

a = 3.387 Å, b = 3.387 Å, c = 7.948 Å
α = 90.00°, β = 90.00°, γ = 90.00°
Element x y z (fractional)
Sc: 0.000 0.000 0.199
Er: 0.500 0.500 0.500
Sc: 0.000 0.000 0.801
Pd: 0.500 0.500 0.000

***

Density functional theory data (PBE-GGA) for BaZnRu4 after structural relaxation.

Results
**Calculated total energy**: -6.04 eV/atom
**Crystal system**: cubic
**DFT formation energy**: 675 meV/atom

a = 5.407 Å, b = 5.407 Å, c = 5.407 Å
α = 60.00°, β = 60.00°, γ = 60.00°
Site moments in Bohr magnetons follow the coordinates.
Element x y z (fractional)
Ba: 0.000 0.000 0.000  0.00
Zn: 0.750 0.750 0.750  -0.03
Ru: 0.376 0.376 0.871  0.87
Ru: 0.376 0.871 0.376  0.87
Ru: 0.376 0.376 0.376  0.87
Ru: 0.871 0.376 0.376  0.87

***

Density functional theory data (PBE-GGA) for AcAlPt after structural relaxation.

Results
**Calculated total energy**: -5.60 eV/atom
**Crystal system**: monoclinic
**DFT formation energy**: -973 meV/atom

a = 4.307 Å, b = 7.565 Å, c = 13.382 Å
α = 94.51°, β = 90.00°, γ = 90.00°
Element x y z (fractional)
Al: 0.250 0.006 0.071
Pt: 0.750 0.793 0.555
Pt: 0.250 0.792 0.909
Pt: 0.750 0.291 0.743
Ac: 0.250 0.978 0.709
Pt: 0.250 0.709 0.257
Al: 0.750 0.143 0.543
Ac: 0.750 0.022 0.291
Al: 0.250 0.857 0.457
Pt: 0.750 0.208 0.091
Ac: 0.250 0.494 0.629
Ac: 0.750 0.652 0.088
Ac: 0.750 0.506 0.371
Ac: 0.250 0.348 0.912
Al: 0.250 0.346 0.177
Al: 0.750 0.654 0.823
Pt: 0.250 0.207 0.445
Al: 0.750 0.994 0.929

***

Density functional theory data (PBE-GGA) for CeDyTl after structural relaxation.

Results
**Calculated total energy**: -4.49 eV/atom
**Crystal system**: trigonal
**DFT formation energy**: -185 meV/atom

a = 5.435 Å, b = 5.434 Å, c = 6.782 Å
α = 89.99°, β = 90.00°, γ = 120.00°
Site moments in Bohr magnetons follow the coordinates.
Element x y z (fractional)
Ce: 0.179 0.357 0.275  1.13
Dy: 0.178 0.357 0.767  0.34
Dy: 0.845 0.691 0.516  0.30
Ce: 0.512 0.023 0.048  0.91
Tl: 0.512 0.024 0.543  -0.03
Tl: 0.845 0.690 0.009  -0.01

***

Density functional theory data (PBE-GGA) for InFeAg2 after structural relaxation.

Results
**Calculated total energy**: -3.95 eV/atom
**Crystal system**: monoclinic
**DFT formation energy**: 276 meV/atom

a = 4.898 Å, b = 4.898 Å, c = 5.254 Å
α = 81.08°, β = 81.08°, γ = 34.57°
Site moments in Bohr magnetons follow the coordinates.
Element x y z (fractional)
Ag: 0.754 0.754 0.742  0.00
In: 0.245 0.245 0.262  -0.06
Ag: 0.000 0.000 0.991  -0.01
Fe: 0.501 0.501 0.504  2.75

***

Density functional theory data (PBE-GGA) for Fe2RePCl after structural relaxation.

Results
**Calculated total energy**: -5.66 eV/atom
**Crystal system**: tetragonal

a = 4.578 Å, b = 4.386 Å, c = 4.578 Å
α = 90.00°, β = 90.00°, γ = 90.00°
Site moments in Bohr magnetons follow the coordinates.
Element x y z (fractional)
Re: 0.000 0.000 0.000  0.04
P: 0.500 0.500 0.500  0.09
Fe: 0.000 0.000 0.500  -0.07
Fe: 0.500 0.000 0.000  -0.10
Cl: 0.000 0.500 0.000  0.02

***

Question: Among the records above, which one has the lowest calculated total energy?
Answer: Ce2Pu3ZrN6

***

Question: What is the calculated total energy in the first record?
Answer: -3.91 eV/atom

***

Question: Which of these has the highest calculated total energy?
Answer: Na2NiRh2